Below is an optimized crystal structure of YbGaCoO4, with properties calculated at the GGA+U level.

The total magnetic moment is 0.5231 μB per atom. Its total DFT energy (no corrections) is -43.237 eV per formula unit.

The space group is R3m (No. 160, hexagonal axes) and the conventional cell measures 3.4825, 3.4825 and 25.1264 Å, with angles of 90.00, 90.00 and 120.00 degrees. The distinct sites, in fractional coordinates, are Yb at (0.0000, 0.0000, 0.0000), Ga at (0.0000, 0.0000, 0.2134), Co at (0.0000, 0.0000, 0.7860), O at (0.0000, 0.0000, 0.1356), O at (0.0000, 0.0000, 0.2882), O at (0.0000, 0.0000, 0.7095) and O at (0.0000, 0.0000, 0.8738).